DFT (PBEsol) results for a relaxed Tc2AsRu crystal.

a = 4.290 Å, b = 4.290 Å, c = 4.290 Å
α = 60.00°, β = 60.00°, γ = 60.00°
Fractional positions:
Ru (0.750, 0.750, 0.750)
As (0.500, 0.500, 0.500)
Tc (0.000, 0.000, 0.000)
Tc (0.250, 0.250, 0.250)

Summary:
SG   No. 216
M_tot   0.004 μB/cell
Theoretical density   11.1 Mg/m³
Raw total energy   -9.23 eV per atom
Energy of formation from the pure elements   0.22 eV/atom